# Na2CaRhN

A geometry-optimized Na2CaRhN structure (PBE, the Alexandria database).

The structure in POSCAR format:
```
Na2CaRhN
1.0
4.6572 0.0000 0.0000
0.0000 4.6572 0.0000
0.0000 0.0000 4.7567
Na Ca Rh N
2 1 1 1
Cartesian
0.0000 2.3286 0.0000
2.3286 0.0000 0.0000
0.0000 0.0000 2.3783
2.3286 2.3286 2.3783
0.0000 0.0000 0.0000
```

Calculated values
The value obtained for the density of states at the Fermi level is 3.12 states/eV/cell. Its symmetry is P4/mmm (123). For the calculated total energy, the calculation gives -3.7004 eV per atom.